[1]
A plane-wave DFT calculation with PBE was carried out for BaBePt after structural relaxation.

Calculated values
Formation enthalpy at 0 K ... 221 kJ/mol of formula units
Offset from the most stable computed form ... 1324 meV per atom
N(E_F) ... 0.7 states/eV per cell
Total magnetic moment ... 0.00 Bohr magnetons per cell
Symmetry ... F-43m

Geometry as POSCAR:
```
BaBePt
1.0
-3.253 1.216 -3.766
-0.059 -2.750 -4.322
-3.978 -3.058 -1.036
Ba Pt Be
1 1 1
direct
0.750 0.750 0.750
0.500 0.500 0.500
0.000 0.000 0.000
```


[2]
A plane-wave DFT calculation with PBE was carried out for Er3PdAu after structural relaxation.

Calculated values
Formation enthalpy at 0 K ... -319 kJ/mol of formula units
N(E_F) ... 9.1 states/eV per cell
Total magnetic moment ... 0.01 Bohr magnetons per cell
Symmetry ... Pmmn

Geometry as POSCAR:
```
Er3PdAu
1.0
4.090 -0.001 0.000
0.002 7.103 0.000
0.000 0.000 8.830
Er Au Pd
6 2 2
direct
0.250 0.495 0.323
0.250 0.250 0.943
0.750 0.750 0.057
0.750 0.505 0.677
0.750 0.995 0.677
0.250 0.005 0.323
0.250 0.750 0.829
0.750 0.250 0.171
0.750 0.750 0.415
0.250 0.250 0.585
```


[3]
A plane-wave DFT calculation with PBE was carried out for Cd4InMo after structural relaxation.

Calculated values
Formation enthalpy at 0 K ... 299 kJ/mol of formula units
N(E_F) ... 2.9 states/eV per cell
Total magnetic moment ... 3.35 Bohr magnetons per cell
Symmetry ... F-43m

Geometry as POSCAR:
```
Cd4InMo
1.0
0.000 4.050 4.050
4.050 0.000 4.050
4.050 4.050 0.000
In Mo Cd
1 1 4
direct
0.750 0.750 0.750
0.000 0.000 0.000
0.374 0.374 0.374
0.877 0.374 0.374
0.374 0.877 0.374
0.374 0.374 0.877
```


[4]
A plane-wave DFT calculation with PBE was carried out for Er2Sc6Fe after structural relaxation.

Calculated values
Formation enthalpy at 0 K ... 180 kJ/mol of formula units
N(E_F) ... 14.0 states/eV per cell
Total magnetic moment ... 0.73 Bohr magnetons per cell
Symmetry ... Cmmm

Geometry as POSCAR:
```
Er2Sc6Fe
1.0
3.198 0.000 0.371
0.000 8.829 0.000
-0.914 -4.415 7.829
Er Sc Fe
2 6 1
direct
0.500 0.667 0.334
0.500 0.333 0.666
0.000 0.672 0.675
0.500 0.750 0.000
0.000 0.997 0.325
0.000 0.003 0.675
0.500 0.250 0.000
0.000 0.328 0.325
0.000 0.000 0.000
```


[5]
A plane-wave DFT calculation with PBE was carried out for Ba2MgInIr after structural relaxation.

Calculated values
Formation enthalpy at 0 K ... -54 kJ/mol of formula units
N(E_F) ... 3.8 states/eV per cell
Total magnetic moment ... 0.00 Bohr magnetons per cell
Symmetry ... P4/mmm

Geometry as POSCAR:
```
Ba2MgInIr
1.0
-4.891 1.151 3.465
-3.651 -1.461 -4.668
-0.044 -4.989 1.596
Ir Ba In Mg
1 2 1 1
direct
0.000 0.000 0.000
0.500 0.000 0.000
0.000 0.500 0.000
0.000 0.000 0.500
0.500 0.500 0.500
```


[6]
A plane-wave DFT calculation with PBE was carried out for SmDy3Ir3 after structural relaxation.

Calculated values
Formation enthalpy at 0 K ... -467 kJ/mol of formula units
N(E_F) ... 5.7 states/eV per cell
Total magnetic moment ... 0.00 Bohr magnetons per cell
Symmetry ... R-3m

Geometry as POSCAR:
```
SmDy3Ir3
1.0
5.625 0.025 -2.000
-2.784 4.812 -1.970
-0.015 0.025 5.970
Ir Dy Sm
3 3 1
direct
0.000 0.504 0.500
0.500 0.004 0.500
0.500 0.504 0.000
0.500 0.004 0.000
0.500 0.504 0.500
0.000 0.004 0.500
0.000 0.503 0.000
```


[7]
A plane-wave DFT calculation with PBE was carried out for Nd3PaP4 after structural relaxation.

Calculated values
Formation enthalpy at 0 K ... -1148 kJ/mol of formula units
N(E_F) ... 3.3 states/eV per cell
Total magnetic moment ... 0.00 Bohr magnetons per cell
Symmetry ... I4/mmm

Geometry as POSCAR:
```
Nd3PaP4
1.0
5.303 0.000 -2.354
-1.045 5.199 -2.354
-0.016 -0.019 7.115
P Nd Pa
4 3 1
direct
0.000 0.500 0.000
0.762 0.762 0.524
0.500 0.000 0.000
0.238 0.238 0.476
0.250 0.750 0.500
0.500 0.500 0.000
0.750 0.250 0.500
0.000 0.000 0.000
```


[8]
A plane-wave DFT calculation with PBE was carried out for CdBCl after structural relaxation.

Calculated values
Offset from the most stable computed form ... 14 meV per atom
N(E_F) ... 0.3 states/eV per cell
Formation energy (no corrections) ... -0.18 eV per atom
Total magnetic moment ... 0.00 Bohr magnetons per cell
Symmetry ... P1

Geometry as POSCAR:
```
CdBCl
1.0
-2.689 1.624 -0.936
-2.800 -2.332 -1.713
-5.546 -1.249 8.932
B Cl Cd
2 2 2
direct
0.255 0.938 0.747
0.755 0.939 0.748
0.986 0.243 0.428
0.235 0.201 0.067
0.647 0.510 0.913
0.278 0.529 0.582
```


[9]
A plane-wave DFT calculation with PBE was carried out for Re2SiN after structural relaxation.

Calculated values
Offset from the most stable computed form ... 0 meV per atom
N(E_F) ... 6.3 states/eV per cell
Formation energy (no corrections) ... 0.62 eV per atom
Total magnetic moment ... 1.89 Bohr magnetons per cell
Symmetry ... I-42d

Geometry as POSCAR:
```
Re2SiN
1.0
5.014 0.000 0.000
0.000 5.014 0.000
2.507 2.507 4.989
Re N Si
4 2 2
direct
0.203 0.625 0.250
0.375 0.453 0.750
0.547 0.125 0.250
0.875 0.797 0.750
0.250 0.750 0.500
0.500 0.500 0.000
0.000 0.000 0.000
0.750 0.250 0.500
```


[10]
A plane-wave DFT calculation with PBE was carried out for Ac3Pd8Pb3 after structural relaxation.

Calculated values
Formation enthalpy at 0 K ... -735 kJ/mol of formula units
N(E_F) ... 6.7 states/eV per cell
Total magnetic moment ... 0.00 Bohr magnetons per cell
Symmetry ... Immm

Geometry as POSCAR:
```
Ac3Pd8Pb3
1.0
4.859 0.000 0.000
2.429 8.468 0.354
2.429 2.646 8.051
Pd Pb Ac
8 3 3
direct
0.822 0.534 0.821
0.178 0.466 0.179
0.369 0.904 0.357
0.631 0.643 0.096
0.822 0.821 0.534
0.369 0.357 0.904
0.178 0.179 0.466
0.631 0.096 0.643
0.000 0.231 0.769
0.000 0.769 0.231
0.500 0.000 0.000
0.210 0.790 0.790
0.790 0.210 0.210
0.500 0.500 0.500
```


[11]
A plane-wave DFT calculation with PBE was carried out for NaTlGa2 after structural relaxation.

Calculated values
Formation enthalpy at 0 K ... 44 kJ/mol of formula units
Offset from the most stable computed form ... 101 meV per atom
N(E_F) ... 3.7 states/eV per cell
Total magnetic moment ... 0.00 Bohr magnetons per cell
Symmetry ... I-42d

Geometry as POSCAR:
```
NaTlGa2
1.0
-1.990 -3.729 0.094
3.185 -1.643 2.243
-4.475 0.256 10.526
Tl Ga Na
2 4 2
direct
0.000 0.000 0.000
0.750 0.250 0.500
0.617 0.125 0.250
0.133 0.625 0.250
0.875 0.867 0.750
0.375 0.383 0.750
0.500 0.500 0.000
0.250 0.750 0.500
```


[12]
A plane-wave DFT calculation with PBE was carried out for CrGaAs after structural relaxation.

Calculated values
Formation enthalpy at 0 K ... -7 kJ/mol of formula units
Offset from the most stable computed form ... 94 meV per atom
N(E_F) ... 3.1 states/eV per cell
Total magnetic moment ... 0.89 Bohr magnetons per cell
Symmetry ... P2_1/m

Geometry as POSCAR:
```
CrGaAs
1.0
5.254 0.000 -0.024
0.000 3.079 0.000
-1.706 0.000 5.966
As Ga Cr
2 2 2
direct
0.682 0.250 0.786
0.318 0.750 0.214
0.816 0.250 0.207
0.184 0.750 0.793
0.269 0.250 0.495
0.731 0.750 0.505
```


[13]
A plane-wave DFT calculation with PBE was carried out for RbVI after structural relaxation.

Calculated values
Offset from the most stable computed form ... 47 meV per atom
N(E_F) ... 7.8 states/eV per cell
Formation energy (no corrections) ... 0.00 eV per atom
Total magnetic moment ... 0.01 Bohr magnetons per cell
Symmetry ... Cm

Geometry as POSCAR:
```
RbVI
1.0
4.726 0.000 -0.001
0.000 5.769 0.000
-4.692 0.000 17.807
Rb V I
4 4 4
direct
0.000 0.000 0.364
0.743 0.000 0.105
0.000 0.500 0.864
0.743 0.500 0.605
0.177 0.000 0.734
0.177 0.500 0.234
0.560 0.500 0.234
0.560 0.000 0.734
0.217 0.500 0.079
0.525 0.000 0.889
0.217 0.000 0.579
0.525 0.500 0.389
```


[14]
A plane-wave DFT calculation with PBE was carried out for Tb9Pr4Tm11 after structural relaxation.

Calculated values
Formation enthalpy at 0 K ... 92 kJ/mol of formula units
N(E_F) ... 32.1 states/eV per cell
Total magnetic moment ... 0.00 Bohr magnetons per cell
Symmetry ... Cmmm

Geometry as POSCAR:
```
Tb9Pr4Tm11
1.0
-3.394 0.467 1.125
-5.129 -2.958 -14.248
1.464 -12.110 9.448
Pr Tm Tb
4 11 9
direct
0.500 0.758 0.582
0.500 0.242 0.418
0.500 0.418 0.242
0.500 0.582 0.758
0.000 0.626 0.374
0.000 0.186 0.814
0.000 0.596 0.967
0.000 0.374 0.626
0.000 0.404 0.033
0.000 0.212 0.212
0.000 0.814 0.186
0.000 0.788 0.788
0.000 0.967 0.596
0.000 0.033 0.404
0.000 0.000 0.000
0.500 0.984 0.797
0.500 0.500 0.500
0.500 0.173 0.613
0.500 0.203 0.016
0.500 0.797 0.984
0.500 0.827 0.387
0.500 0.016 0.203
0.500 0.613 0.173
0.500 0.387 0.827
```


[15]
A plane-wave DFT calculation with PBE was carried out for Rb2HfAlS4 after structural relaxation.

Calculated values
N(E_F) ... 2.7 states/eV per cell
Formation energy (no corrections) ... -1.22 eV per atom
Total magnetic moment ... 0.00 Bohr magnetons per cell
Symmetry ... Fddd

Geometry as POSCAR:
```
Rb2HfAlS4
1.0
6.314 0.000 0.000
3.157 7.023 0.000
3.157 0.000 12.106
Hf S Al Rb
2 8 2 4
direct
0.000 0.000 0.000
0.750 0.500 0.500
0.595 0.183 0.099
0.307 0.817 0.099
0.443 0.683 0.401
0.528 0.317 0.599
0.222 0.183 0.901
0.877 0.817 0.901
0.155 0.317 0.401
0.873 0.683 0.599
0.250 0.500 0.500
0.500 0.000 0.000
0.178 0.000 0.644
0.822 0.000 0.356
0.572 0.500 0.856
0.928 0.500 0.144
```


[16]
A plane-wave DFT calculation with PBE was carried out for AsIrSe2 after structural relaxation.

Calculated values
N(E_F) ... 3.1 states/eV per cell
Formation energy (no corrections) ... 0.34 eV per atom
Total magnetic moment ... 0.00 Bohr magnetons per cell
Symmetry ... Pmm2

Geometry as POSCAR:
```
AsIrSe2
1.0
2.982 0.000 0.000
0.000 4.046 0.000
0.000 0.000 7.089
Ir Se As
1 2 1
direct
0.500 0.500 0.686
0.500 0.500 0.331
0.000 0.000 0.921
0.000 0.000 0.562
```


[17]
A plane-wave DFT calculation with PBE was carried out for KSrAgSe2 after structural relaxation.

Calculated values
N(E_F) ... 0.0 states/eV per cell
Formation energy (no corrections) ... -1.10 eV per atom
Total magnetic moment ... 0.00 Bohr magnetons per cell
Symmetry ... Cmme

Geometry as POSCAR:
```
KSrAgSe2
1.0
5.534 0.000 0.000
0.000 8.370 0.000
0.000 -4.185 7.879
Sr Se K Ag
2 4 2 2
direct
0.500 0.750 0.000
0.500 0.250 0.000
0.716 0.621 0.242
0.284 0.379 0.758
0.284 0.121 0.242
0.716 0.879 0.758
0.794 0.250 0.500
0.206 0.750 0.500
0.000 0.000 0.000
0.000 0.500 0.000
```


[18]
A plane-wave DFT calculation with PBE was carried out for Al2P2Rh after structural relaxation.

Calculated values
Formation enthalpy at 0 K ... -79 kJ/mol of formula units
N(E_F) ... 2.6 states/eV per cell
Total magnetic moment ... 0.00 Bohr magnetons per cell
Symmetry ... I4/mmm

Geometry as POSCAR:
```
Al2P2Rh
1.0
1.791 -7.857 -0.238
-1.921 -7.510 2.215
-1.174 7.457 -2.831
Al P Rh
2 2 1
direct
0.408 0.408 0.000
0.592 0.592 0.000
0.750 0.250 0.500
0.250 0.750 0.500
0.000 0.000 0.000
```